Entry 1:
Density functional theory data (PBE) for a relaxed structure of NaLiAg.

Symmetry: P3m1
Uncorrected energy, eV per cell: -6.15
ΔE_f, eV per atom: -0.02

Cell lengths 4.8861, 4.8861, 2.9683 Å; angles 90.00, 90.00, 120.00 degrees
With the nearest neighbours (Å) after each atom.
Atoms (fractional coordinates):
Na1 0.0000 0.0000 0.0000  3 Li 2.94, 2 Na 2.97, 3 Ag 3.07
Li1 0.3333 0.6667 0.2828  3 Na 2.94, 3 Ag 2.97, 2 Li 2.97
Ag1 0.6667 0.3333 0.5910  3 Li 2.97, 2 Ag 2.97, 3 Na 3.07

Entry 2:
Density functional theory data (PBE) for a relaxed structure of NaLiAg.

Symmetry: P-1
Uncorrected energy, eV per cell: -12.57
ΔE_f, eV per atom: -0.07

Cell lengths 3.0058, 5.7517, 8.0584 Å; angles 70.30, 89.82, 77.42 degrees
With the nearest neighbours (Å) after each atom.
Atoms (fractional coordinates):
Na1 0.1380 0.1836 0.1218  2 Na 3.01, 5 Ag 3.15-3.25, 2 Li 3.31-3.32
Na2 0.8620 0.8164 0.8782  2 Na 3.01, 5 Ag 3.15-3.25, 2 Li 3.31-3.32
Li1 0.1220 0.2396 0.5177  4 Ag 2.76-2.81, 3 Li 2.84-3.01
Li2 0.8780 0.7604 0.4823  4 Ag 2.76-2.81, 3 Li 2.84-3.01
Ag1 0.4688 0.5876 0.2554  4 Li 2.76-2.81, 2 Ag 3.01
Ag2 0.5312 0.4124 0.7446  4 Li 2.76-2.81, 2 Ag 3.01

Entry 3:
Density functional theory data (PBE) for a relaxed structure of NaLiAg3.

Symmetry: Pm-3m
Uncorrected energy, eV per cell: -10.82
E above lowest polymorph, meV/atom: 236
ΔE_f, eV per atom: 0.19

Cell lengths 4.7338, 4.7338, 4.7338 Å; angles 90.00, 90.00, 90.00 degrees
With the nearest neighbours (Å) after each atom.
Atoms (fractional coordinates):
Na1 0.0000 0.0000 0.0000  12 Ag 3.35
Li1 0.5000 0.5000 0.5000  6 Ag 2.37
Ag1 0.0000 0.5000 0.5000  2 Li 2.37
Ag2 0.5000 0.0000 0.5000  2 Li 2.37
Ag3 0.5000 0.5000 0.0000  2 Li 2.37

Entry 4:
Density functional theory data (PBE) for a relaxed structure of Na2LiAg.

Symmetry: P4/mmm
Uncorrected energy, eV per cell: -7.25
E above lowest polymorph, meV/atom: 34
ΔE_f, eV per atom: 0.04

Cell lengths 3.7561, 3.7561, 7.0824 Å; angles 90.00, 90.00, 90.00 degrees
With the nearest neighbours (Å) after each atom.
Atoms (fractional coordinates):
Na1 0.0000 0.0000 0.2323  4 Ag 3.12, 4 Li 3.26, 1 Na 3.29
Na2 0.0000 0.0000 0.7677  4 Ag 3.12, 4 Li 3.26, 1 Na 3.29
Li1 0.5000 0.5000 0.5000  8 Na 3.26, 2 Ag 3.54
Ag1 0.5000 0.5000 0.0000  8 Na 3.12

Entry 5:
Density functional theory data (PBE) for a relaxed structure of NaLi6Ag.

Symmetry: Cmmm
Uncorrected energy, eV per cell: -63.83
E above lowest polymorph, meV/atom: 0
ΔE_f, eV per atom: -0.04

Cell lengths 7.6754, 7.6754, 13.4720 Å; angles 90.00, 90.00, 125.38 degrees
With the nearest neighbours (Å) after each atom.
Atoms (fractional coordinates):
Na1 0.0000 0.0000 0.2266  11 Li 3.04-3.33
Na2 0.0000 0.0000 0.7734  11 Li 3.04-3.33
Na3 0.2357 0.7643 0.5000  11 Li 3.22-3.54, 2 Na 3.54
Na4 0.7643 0.2357 0.5000  11 Li 3.22-3.54, 2 Na 3.54
Li1 0.0000 0.0000 0.0000  2 Na 3.05, 8 Li 3.10, 2 Ag 3.12
Li2 0.0000 0.0000 0.5000  10 Li 3.18-3.52, 2 Na 3.22
Li3 0.1437 0.4165 0.1112  3 Ag 2.78-2.85, 6 Li 2.82-3.10
Li4 0.1437 0.4165 0.8888  3 Ag 2.78-2.85, 6 Li 2.82-3.10
Li5 0.1653 0.3935 0.3544  1 Ag 2.83, 5 Li 2.94-3.11, 1 Na 3.04
Li6 0.1653 0.3935 0.6456  1 Ag 2.83, 5 Li 2.94-3.11, 1 Na 3.04
Li7 0.2439 0.7561 0.2375  8 Li 2.82-3.08
Li8 0.2439 0.7561 0.7625  8 Li 2.82-3.08
Li9 0.3935 0.1653 0.3544  1 Ag 2.83, 5 Li 2.94-3.11, 1 Na 3.04
Li10 0.3935 0.1653 0.6456  1 Ag 2.83, 5 Li 2.94-3.11, 1 Na 3.04
Li11 0.4165 0.1437 0.1112  3 Ag 2.78-2.85, 6 Li 2.82-3.10
Li12 0.4165 0.1437 0.8888  3 Ag 2.78-2.85, 6 Li 2.82-3.10
Li13 0.5000 0.5000 0.0000  8 Li 2.85, 2 Ag 3.00
Li14 0.5000 0.5000 0.5000  8 Li 2.95
Li15 0.5835 0.8563 0.1112  3 Ag 2.78-2.85, 6 Li 2.82-3.10
Li16 0.5835 0.8563 0.8888  3 Ag 2.78-2.85, 6 Li 2.82-3.10
Li17 0.6065 0.8347 0.3544  1 Ag 2.83, 5 Li 2.94-3.11, 1 Na 3.04
Li18 0.6065 0.8347 0.6456  1 Ag 2.83, 5 Li 2.94-3.11, 1 Na 3.04
Li19 0.7561 0.2439 0.2375  8 Li 2.82-3.08
Li20 0.7561 0.2439 0.7625  8 Li 2.82-3.08
Li21 0.8347 0.6065 0.3544  1 Ag 2.83, 5 Li 2.94-3.11, 1 Na 3.04
Li22 0.8347 0.6065 0.6456  1 Ag 2.83, 5 Li 2.94-3.11, 1 Na 3.04
Li23 0.8563 0.5835 0.1112  3 Ag 2.78-2.85, 6 Li 2.82-3.10
Li24 0.8563 0.5835 0.8888  3 Ag 2.78-2.85, 6 Li 2.82-3.10
Ag1 0.2284 0.7716 0.0000  8 Li 2.78-2.84
Ag2 0.5000 0.5000 0.2224  9 Li 2.83-3.00
Ag3 0.5000 0.5000 0.7776  9 Li 2.83-3.00
Ag4 0.7716 0.2284 0.0000  8 Li 2.78-2.84

Entry 6:
Density functional theory data (PBE) for a relaxed structure of NaLi5Ag3.

Symmetry: P6_3/mcm
Uncorrected energy, eV per cell: -40.77
ΔE_f, eV per atom: -0.11

Cell lengths 8.1283, 8.1283, 5.7009 Å; angles 90.00, 90.00, 120.00 degrees
With the nearest neighbours (Å) after each atom.
Atoms (fractional coordinates):
Na1 0.0000 0.0000 0.0000  2 Na 2.85, 6 Li 3.06, 6 Ag 3.17
Na2 0.0000 0.0000 0.5000  2 Na 2.85, 6 Li 3.06, 6 Ag 3.17
Li1 0.0000 0.3327 0.2500  5 Ag 2.59-2.85
Li2 0.0000 0.6673 0.7500  5 Ag 2.59-2.85
Li3 0.3327 0.0000 0.2500  5 Ag 2.59-2.85
Li4 0.3327 0.3327 0.7500  5 Ag 2.59-2.85
Li5 0.3333 0.6667 0.0000  8 Li 2.85-3.06, 6 Ag 3.01
Li6 0.3333 0.6667 0.5000  8 Li 2.85-3.06, 6 Ag 3.01
Li7 0.6673 0.0000 0.7500  5 Ag 2.59-2.85
Li8 0.6667 0.3333 0.0000  8 Li 2.85-3.06, 6 Ag 3.01
Li9 0.6667 0.3333 0.5000  8 Li 2.85-3.06, 6 Ag 3.01
Li10 0.6673 0.6673 0.2500  5 Ag 2.59-2.85
Ag1 0.0000 0.3481 0.7500  5 Li 2.59-2.85
Ag2 0.0000 0.6519 0.2500  5 Li 2.59-2.85
Ag3 0.3481 0.0000 0.7500  5 Li 2.59-2.85
Ag4 0.3481 0.3481 0.2500  5 Li 2.59-2.85
Ag5 0.6519 0.0000 0.2500  5 Li 2.59-2.85
Ag6 0.6519 0.6519 0.7500  5 Li 2.59-2.85

Entry 7:
Density functional theory data (PBE) for a relaxed structure of NaLiAg5.

Symmetry: P1
Uncorrected energy, eV per cell: -17.72
ΔE_f, eV per atom: -0.03

Cell lengths 5.2835, 5.4265, 5.4968 Å; angles 61.19, 85.44, 85.57 degrees
With the nearest neighbours (Å) after each atom.
Atoms (fractional coordinates):
Na1 0.0000 0.0000 0.0000  11 Ag 2.97-3.31, 1 Li 3.31
Li1 0.2436 0.6638 0.6621  2 Ag 2.62-2.69
Ag1 0.0285 0.3457 0.3551  6 Ag 2.88-3.05, 2 Na 3.11-3.12
Ag2 0.4728 0.1473 0.1499  5 Ag 2.71-2.88, 2 Na 2.97-3.00, 1 Li 3.02
Ag3 0.5246 0.1454 0.6440  8 Ag 2.75-3.02, 1 Li 3.06
Ag4 0.5291 0.6431 0.1440  7 Ag 2.71-2.99
Ag5 0.7409 0.6377 0.6322  2 Li 2.62-2.69, 1 Ag 2.93

Entry 8:
Density functional theory data (PBE) for a relaxed structure of NaLi7Ag4.

Symmetry: C2/m
Uncorrected energy, eV per cell: -26.95
ΔE_f, eV per atom: -0.07

Cell lengths 7.0753, 7.0753, 8.2515 Å; angles 121.39, 121.39, 40.40 degrees
With the nearest neighbours (Å) after each atom.
Atoms (fractional coordinates):
Na1 0.0000 0.0000 0.0000  2 Li 2.44
Li1 0.0735 0.0735 0.4246  3 Ag 2.64-2.79, 1 Li 2.84
Li2 0.2145 0.2145 0.8816  4 Ag 2.85-3.07, 6 Li 2.94-3.16
Li3 0.2671 0.2671 0.3056  4 Ag 2.56-2.77
Li4 0.5000 0.5000 0.0000  2 Na 2.44, 2 Ag 2.56
Li5 0.7329 0.7329 0.6944  4 Ag 2.56-2.77
Li6 0.7855 0.7855 0.1184  4 Ag 2.85-3.07, 6 Li 2.94-3.16
Li7 0.9265 0.9265 0.5754  3 Ag 2.64-2.79, 1 Li 2.84
Ag1 0.3125 0.3125 0.6500  6 Li 2.56-2.85, 1 Ag 2.85
Ag2 0.4532 0.4532 0.2849  4 Li 2.57-2.79, 1 Ag 2.85
Ag3 0.5468 0.5468 0.7151  4 Li 2.57-2.79, 1 Ag 2.85
Ag4 0.6875 0.6875 0.3500  6 Li 2.56-2.85, 1 Ag 2.85

Entry 9:
Density functional theory data (PBE) for a relaxed structure of NaLi3Ag.

Symmetry: P6_3/mmc
Uncorrected energy, eV per cell: -19.86
E above lowest polymorph, meV/atom: 49
ΔE_f, eV per atom: 0.00

Cell lengths 7.0512, 7.0512, 5.5342 Å; angles 90.00, 90.00, 120.00 degrees
With the nearest neighbours (Å) after each atom.
Atoms (fractional coordinates):
Na1 0.3333 0.6667 0.2500  12 Li 3.30-3.53
Na2 0.6667 0.3333 0.7500  12 Li 3.30-3.53
Li1 0.1868 0.3736 0.7500  2 Ag 2.67
Li2 0.1868 0.8132 0.7500  2 Ag 2.67
Li3 0.3736 0.1868 0.2500  2 Ag 2.67
Li4 0.6264 0.8132 0.7500  2 Ag 2.67
Li5 0.8132 0.1868 0.2500  2 Ag 2.67
Li6 0.8132 0.6264 0.2500  2 Ag 2.67
Ag1 0.0000 0.0000 0.0000  6 Li 2.67, 2 Ag 2.77
Ag2 0.0000 0.0000 0.5000  6 Li 2.67, 2 Ag 2.77

Entry 10:
Density functional theory data (PBE) for a relaxed structure of NaLi9Ag3.

Symmetry: C2/m
Uncorrected energy, eV per cell: -28.38
ΔE_f, eV per atom: -0.10

Cell lengths 7.2902, 7.2902, 7.3218 Å; angles 98.09, 98.09, 135.42 degrees
With the nearest neighbours (Å) after each atom.
Atoms (fractional coordinates):
Na1 0.0000 0.0000 0.0000  14 Li 3.32-3.68, 6 Ag 3.65-3.66
Li1 0.0145 0.6624 0.6587  3 Ag 2.86-2.93, 6 Li 2.94-3.14
Li2 0.2725 0.4932 0.7844  3 Ag 2.73-2.79, 5 Li 2.82-3.01
Li3 0.3376 0.9855 0.3413  3 Ag 2.86-2.93, 6 Li 2.94-3.14
Li4 0.4932 0.2725 0.7844  3 Ag 2.73-2.79, 5 Li 2.82-3.01
Li5 0.5000 0.5000 0.5000  2 Ag 2.77, 8 Li 2.82-2.98
Li6 0.5068 0.7275 0.2156  3 Ag 2.73-2.79, 5 Li 2.82-3.01
Li7 0.6624 0.0145 0.6587  3 Ag 2.86-2.93, 6 Li 2.94-3.14
Li8 0.7275 0.5068 0.2156  3 Ag 2.73-2.79, 5 Li 2.82-3.01
Li9 0.9855 0.3376 0.3413  3 Ag 2.86-2.93, 6 Li 2.94-3.14
Ag1 0.0000 0.0000 0.5000  10 Li 2.77-2.93
Ag2 0.0000 0.5000 0.0000  8 Li 2.73-2.90, 2 Ag 2.77
Ag3 0.5000 0.0000 0.0000  8 Li 2.73-2.90, 2 Ag 2.77

Entry 11:
Density functional theory data (PBE) for a relaxed structure of NaLiAgP.

Symmetry: F-43m
Uncorrected energy, eV per cell: -50.31
ΔE_f, eV per atom: -0.27

Cell lengths 6.4405, 6.4405, 6.4405 Å; angles 90.00, 90.00, 90.00 degrees
With the nearest neighbours (Å) after each atom.
Atoms (fractional coordinates):
Na1 0.0000 0.0000 0.0000  4 Ag 2.79, 4 Li 2.79
Na2 0.0000 0.5000 0.5000  4 Ag 2.79, 4 Li 2.79
Na3 0.5000 0.0000 0.5000  4 Ag 2.79, 4 Li 2.79
Na4 0.5000 0.5000 0.0000  4 Ag 2.79, 4 Li 2.79
Li1 0.2500 0.2500 0.2500  4 Na 2.79, 4 P 2.79
Li2 0.2500 0.7500 0.7500  4 Na 2.79, 4 P 2.79
Li3 0.7500 0.2500 0.7500  4 Na 2.79, 4 P 2.79
Li4 0.7500 0.7500 0.2500  4 Na 2.79, 4 P 2.79
Ag1 0.2500 0.2500 0.7500  4 Na 2.79, 4 P 2.79
Ag2 0.2500 0.7500 0.2500  4 Na 2.79, 4 P 2.79
Ag3 0.7500 0.2500 0.2500  4 Na 2.79, 4 P 2.79
Ag4 0.7500 0.7500 0.7500  4 Na 2.79, 4 P 2.79
P1 0.0000 0.0000 0.5000  4 Li 2.79, 4 Ag 2.79
P2 0.0000 0.5000 0.0000  4 Li 2.79, 4 Ag 2.79
P3 0.5000 0.0000 0.0000  4 Li 2.79, 4 Ag 2.79
P4 0.5000 0.5000 0.5000  4 Li 2.79, 4 Ag 2.79

Entry 12:
Density functional theory data (PBE) for a relaxed structure of NaLiPmAg.

Symmetry: F-43m
Uncorrected energy, eV per cell: -42.52
ΔE_f, eV per atom: 0.05

Cell lengths 7.3483, 7.3483, 7.3483 Å; angles 90.00, 90.00, 90.00 degrees
With the nearest neighbours (Å) after each atom.
Atoms (fractional coordinates):
Na1 0.0000 0.0000 0.0000  4 Li 3.18, 4 Ag 3.18
Na2 0.0000 0.5000 0.5000  4 Li 3.18, 4 Ag 3.18
Na3 0.5000 0.0000 0.5000  4 Li 3.18, 4 Ag 3.18
Na4 0.5000 0.5000 0.0000  4 Li 3.18, 4 Ag 3.18
Li1 0.2500 0.2500 0.7500  4 Na 3.18, 4 Pm 3.18
Li2 0.2500 0.7500 0.2500  4 Na 3.18, 4 Pm 3.18
Li3 0.7500 0.2500 0.2500  4 Na 3.18, 4 Pm 3.18
Li4 0.7500 0.7500 0.7500  4 Na 3.18, 4 Pm 3.18
Pm1 0.0000 0.0000 0.5000  4 Li 3.18, 4 Ag 3.18
Pm2 0.0000 0.5000 0.0000  4 Li 3.18, 4 Ag 3.18
Pm3 0.5000 0.0000 0.0000  4 Li 3.18, 4 Ag 3.18
Pm4 0.5000 0.5000 0.5000  4 Li 3.18, 4 Ag 3.18
Ag1 0.2500 0.2500 0.2500  4 Pm 3.18, 4 Na 3.18
Ag2 0.2500 0.7500 0.7500  4 Na 3.18, 4 Pm 3.18
Ag3 0.7500 0.2500 0.7500  4 Na 3.18, 4 Pm 3.18
Ag4 0.7500 0.7500 0.2500  4 Na 3.18, 4 Pm 3.18

Which value of uncorrected energy does entry 9 give? -19.86 eV per cell